Record 1
# LaIn2PdAu, relaxed, DFT PBE-GGA
data_LaIn2PdAu
_symmetry_space_group_name_H-M 'P 1'
_symmetry_Int_Tables_number 1
_cell_length_a 5.074
_cell_length_b 5.074
_cell_length_c 5.592
_cell_angle_alpha 90.00
_cell_angle_beta 90.00
_cell_angle_gamma 90.00
loop_
_symmetry_equiv_pos_as_xyz
'x,y,z'
loop_
_atom_site_label
_atom_site_fract_x
_atom_site_fract_y
_atom_site_fract_z
_atom_site_occupancy
La1 0.000 0.000 0.000 1
In1 0.000 0.500 0.406 1
In2 0.500 0.000 0.406 1
Pd1 0.000 0.000 0.536 1
Au1 0.500 0.500 0.119 1
# - calculated total energy (eV/atom) = -4.142
# - magnetization (μB per atom) = 0.0000

=====

Record 2
# Ba2Cd10Ga, relaxed, DFT PBE-GGA
data_Ba2Cd10Ga
_symmetry_space_group_name_H-M 'P 1'
_symmetry_Int_Tables_number 1
_cell_length_a 9.885
_cell_length_b 12.091
_cell_length_c 6.490
_cell_angle_alpha 90.00
_cell_angle_beta 90.00
_cell_angle_gamma 90.00
loop_
_symmetry_equiv_pos_as_xyz
'x,y,z'
loop_
_atom_site_label
_atom_site_fract_x
_atom_site_fract_y
_atom_site_fract_z
_atom_site_occupancy
Ba1 0.240 0.064 0.000 1
Ba2 0.260 0.564 0.000 1
Ba3 0.740 0.436 0.000 1
Ba4 0.760 0.936 0.000 1
Cd1 0.041 0.619 0.500 1
Cd2 0.073 0.812 0.220 1
Cd3 0.073 0.812 0.780 1
Cd4 0.179 0.204 0.500 1
Cd5 0.235 0.439 0.500 1
Cd6 0.265 0.939 0.500 1
Cd7 0.321 0.704 0.500 1
Cd8 0.427 0.312 0.220 1
Cd9 0.427 0.312 0.780 1
Cd10 0.459 0.119 0.500 1
Cd11 0.541 0.881 0.500 1
Cd12 0.573 0.688 0.220 1
Cd13 0.573 0.688 0.780 1
Cd14 0.679 0.296 0.500 1
Cd15 0.735 0.061 0.500 1
Cd16 0.765 0.561 0.500 1
Cd17 0.821 0.796 0.500 1
Cd18 0.927 0.188 0.220 1
Cd19 0.927 0.188 0.780 1
Cd20 0.959 0.381 0.500 1
Ga1 0.000 0.000 0.500 1
Ga2 0.500 0.500 0.500 1
# - calculated total energy (eV/atom) = -1.361
# - magnetization (μB per atom) = 0.0000

=====

Record 3
# NaRhCO4, relaxed, DFT PBE-GGA
data_NaRhCO4
_symmetry_space_group_name_H-M 'P 1'
_symmetry_Int_Tables_number 1
_cell_length_a 5.167
_cell_length_b 5.167
_cell_length_c 6.163
_cell_angle_alpha 90.00
_cell_angle_beta 90.00
_cell_angle_gamma 112.98
loop_
_symmetry_equiv_pos_as_xyz
'x,y,z'
loop_
_atom_site_label
_atom_site_fract_x
_atom_site_fract_y
_atom_site_fract_z
_atom_site_occupancy
Na1 0.000 0.000 0.000 1
Na2 0.000 0.000 0.500 1
Rh1 0.325 0.675 0.750 1
Rh2 0.675 0.325 0.250 1
C1 0.375 0.625 0.250 1
C2 0.625 0.375 0.750 1
O1 0.279 0.721 0.070 1
O2 0.279 0.721 0.430 1
O3 0.282 0.328 0.250 1
O4 0.328 0.282 0.750 1
O5 0.672 0.718 0.250 1
O6 0.718 0.672 0.750 1
O7 0.721 0.279 0.570 1
O8 0.721 0.279 0.930 1
# - raw formation energy (meV per atom) = -910
# - calculated total energy (eV/atom) = -6.300
# - magnetization (μB per atom) = 0.0000

=====

Record 4
# BaLi2Zn, relaxed, DFT PBE-GGA
data_BaLi2Zn
_symmetry_space_group_name_H-M 'P 1'
_symmetry_Int_Tables_number 1
_cell_length_a 4.363
_cell_length_b 4.905
_cell_length_c 5.748
_cell_angle_alpha 90.00
_cell_angle_beta 100.98
_cell_angle_gamma 90.00
loop_
_symmetry_equiv_pos_as_xyz
'x,y,z'
loop_
_atom_site_label
_atom_site_fract_x
_atom_site_fract_y
_atom_site_fract_z
_atom_site_occupancy
Ba1 0.000 0.000 0.000 1
Li1 0.327 0.500 0.667 1
Li2 0.673 0.500 0.333 1
Zn1 0.500 0.000 0.500 1
# - calculated total energy (eV/atom) = -1.732
# - magnetization (μB per atom) = 0.0000